[1]
A plane-wave DFT calculation with PBE was carried out for crystalline AcY9Er2 at its relaxed geometry.

Geometry as POSCAR:
```
AcY9Er2
1.0
-4.6539 -1.1818 -1.6600
2.0186 -2.1084 -4.1582
0.8383 -13.4573 7.2303
Ac Y Er
1 9 2
Cartesian
0.0000 0.0000 0.0000 Ac
-1.3176 -1.6451 -2.9091 Y
-1.0345 -6.1903 -0.4671 Y
-0.7625 -10.5571 1.8791 Y
-2.1808 -2.9373 0.4307 Y
-1.9078 -7.3195 2.7851 Y
-1.6348 -11.7017 5.1396 Y
1.1555 -3.4006 -0.8184 Y
1.4285 -7.7828 1.5360 Y
1.7014 -12.1650 3.8905 Y
0.2819 -4.5253 2.4313 Er
0.5564 -8.9320 4.7990 Er
```

ΔE_f (eV per atom): 0.039
N(E_F) (states/eV/cell): 18.51
Energy (eV per cell): -70.9
Space group: No. 123

---

[2]
A plane-wave DFT calculation with PBE was carried out for crystalline Dy6Hg5Ir at its relaxed geometry.

Geometry as POSCAR:
```
Dy6Hg5Ir
1.0
-1.2420 -3.4197 -3.6450
6.2106 -3.8204 1.4667
-6.3083 -0.5841 6.3300
Ir Hg Dy
1 5 6
Cartesian
0.0000 0.0000 0.0000 Ir
0.6913 -4.5641 4.0419 Hg
1.2163 -5.0142 0.6487 Hg
3.1053 -1.9102 0.7334 Hg
-2.5560 -2.8101 3.5030 Hg
-2.0311 -3.2602 0.1098 Hg
0.2613 -2.2045 1.9767 Dy
3.5653 -4.2370 2.7570 Dy
0.7808 -2.5723 -1.4915 Dy
4.1877 -4.6679 -0.6868 Dy
-4.9051 -3.5873 1.3947 Dy
-1.6011 -5.6198 2.1750 Dy
```

ΔE_f (eV per atom): -0.564
N(E_F) (states/eV/cell): 7.43
Energy (eV per cell): -44.8
Space group: No. 71

---

[3]
A plane-wave DFT calculation with PBE was carried out for crystalline AgPd4Pt5 at its relaxed geometry.

Geometry as POSCAR:
```
AgPd4Pt5
1.0
-0.8064 -2.5963 0.3256
6.2566 -2.7960 -6.7996
3.5034 1.1478 6.3167
Ag Pd Pt
1 4 5
Cartesian
-0.4032 -1.2982 0.1628 Ag
2.6127 -0.3352 3.7981 Pd
1.7920 -0.7537 -1.5722 Pd
6.3409 -3.9093 -3.9555 Pd
7.1617 -3.4908 1.4148 Pd
3.8077 -2.3445 2.2482 Pt
6.7421 -3.6865 -1.1851 Pt
2.2115 -0.5580 1.0277 Pt
2.7251 -2.6961 -3.2370 Pt
5.1460 -1.9000 -2.4055 Pt
```

ΔE_f (eV per atom): 0.175
N(E_F) (states/eV/cell): 19.92
Energy (eV per cell): -52.1
Space group: No. 12

---

[4]
A plane-wave DFT calculation with PBE was carried out for crystalline YHoPuSc at its relaxed geometry.

Geometry as POSCAR:
```
YHoPuSc
1.0
-2.7871 -0.6630 -4.6494
1.7768 -3.5300 -3.7690
-2.7387 -4.6374 -0.9043
Y Sc Ho Pu
1 1 1 1
Cartesian
-0.9372 -2.2076 -2.3307 Y
0.0000 0.0000 0.0000 Sc
-1.8745 -4.4152 -4.6613 Ho
-2.8117 -6.6228 -6.9920 Pu
```

ΔE_f (eV per atom): 0.184
N(E_F) (states/eV/cell): 9.51
Energy (eV per cell): -31.0
Space group: No. 216

---

[5]
A plane-wave DFT calculation with PBE was carried out for crystalline Pr2InBr at its relaxed geometry.

Geometry as POSCAR:
```
Pr2InBr
1.0
3.8931 0.0000 0.0000
1.9466 3.3715 0.0000
1.9466 1.1238 9.3325
Pr Br In
2 1 1
Cartesian
5.8397 3.3715 7.0169 Pr
1.9466 1.1239 2.3156 Pr
0.0000 0.0000 0.0000 Br
3.8931 2.2477 4.6663 In
```

E above lowest polymorph (meV per atom): 45
N(E_F) (states/eV/cell): 2.07
Energy (eV per cell): -17.1
Space group: No. 166

---

[6]
A plane-wave DFT calculation with PBE was carried out for crystalline RbCd3Pd at its relaxed geometry.

Geometry as POSCAR:
```
RbCd3Pd
1.0
-0.6073 5.2467 0.2620
-1.3752 0.0957 -5.1053
-14.0705 0.9829 1.0699
Rb Pd Cd
2 2 6
Cartesian
0.0000 0.0000 0.0000 Rb
-8.2185 1.8749 -3.2286 Rb
-11.2875 4.0047 0.3769 Pd
-4.3816 4.8961 -1.4667 Pd
-4.7980 0.9720 -4.1669 Cd
-11.8329 1.4774 -3.6454 Cd
-11.1385 1.4290 -1.0674 Cd
-5.1047 3.6213 -4.0346 Cd
-3.5602 2.3396 -1.7359 Cd
-12.4929 3.9857 -2.0376 Cd
```

ΔE_f (eV per atom): 0.014
E above lowest polymorph (meV per atom): 207
N(E_F) (states/eV/cell): 4.16
Energy (eV per cell): -17.7
Space group: No. 119

---

[7]
A plane-wave DFT calculation with PBE was carried out for crystalline La3Sm2ErSe6 at its relaxed geometry.

Geometry as POSCAR:
```
La3Sm2ErSe6
1.0
-2.6944 1.6645 -6.5718
4.9726 -5.2931 0.6885
-5.8238 -3.4240 2.8688
La Sm Er Se
3 2 1 6
Cartesian
0.7531 -5.8185 0.8846 La
-4.2986 -1.2342 -3.8991 La
-1.7728 -3.5263 -1.5073 La
2.4174 -2.9744 -1.7311 Sm
-0.1392 -0.6543 -4.1521 Sm
0.0000 0.0000 0.0000 Er
-3.9759 -4.2446 -3.4527 Se
0.3313 -3.5517 -3.7535 Se
0.4303 -2.8081 0.4382 Se
-1.4808 -6.5088 -1.0900 Se
-3.8769 -3.5010 0.7390 Se
-2.0648 -0.5439 -1.9245 Se
```

N(E_F) (states/eV/cell): 6.34
Energy (eV per cell): -72.4
Space group: No. 12

---

[8]
A plane-wave DFT calculation with PBE was carried out for crystalline SrLa2Cu at its relaxed geometry.

Geometry as POSCAR:
```
SrLa2Cu
1.0
7.1139 -0.0092 0.0207
6.1771 3.5287 0.0207
2.3067 0.6108 5.2293
Cu La Sr
1 2 1
Cartesian
11.6982 3.0977 3.9530 Cu
2.8809 0.7629 4.9556 La
7.2247 1.9131 2.9090 La
3.8994 1.0326 1.3177 Sr
```

ΔE_f (eV per atom): 0.030
E above lowest polymorph (meV per atom): 28
N(E_F) (states/eV/cell): 6.22
Energy (eV per cell): -15.5
Space group: No. 71

---

[9]
A plane-wave DFT calculation with PBE was carried out for crystalline ThMgZnPd at its relaxed geometry.

Geometry as POSCAR:
```
ThMgZnPd
1.0
4.9319 0.0000 0.0000
2.4659 4.2711 0.0000
2.4659 1.4237 4.0268
Mg Zn Pd Th
1 1 1 1
Cartesian
7.3978 4.2711 3.0201 Mg
0.0000 0.0000 0.0000 Zn
4.9319 2.8474 2.0134 Pd
2.4659 1.4237 1.0067 Th
```

ΔE_f (eV per atom): -0.469
N(E_F) (states/eV/cell): 3.31
Energy (eV per cell): -17.4
Space group: No. 216

---

[10]
A plane-wave DFT calculation with PBE was carried out for crystalline Sr2Ac5Co2 at its relaxed geometry.

Geometry as POSCAR:
```
Sr2Ac5Co2
1.0
-5.3394 -2.6335 5.4330
3.2506 -7.0739 -0.2342
8.2534 7.8832 5.9540
Sr Ac Co
4 10 4
Cartesian
2.7935 0.9472 7.7862 Sr
3.4308 -2.9012 3.3623 Sr
5.8410 -1.8884 6.2220 Sr
0.3833 -0.0657 4.9265 Sr
6.5506 0.4680 9.6552 Ac
1.2990 -5.9588 1.3761 Ac
4.9265 4.0055 9.7711 Ac
-0.3275 -2.4225 1.4945 Ac
3.9888 -2.8507 9.4482 Ac
2.2389 0.8894 1.7000 Ac
5.8651 2.4132 6.0024 Ac
0.3626 -4.3746 5.1458 Ac
4.1573 3.8701 2.9766 Ac
0.4470 -2.2985 8.2886 Ac
0.0299 -0.0652 -0.0022 Co
-1.0145 -4.9188 2.5972 Co
2.5372 -3.4430 6.9323 Co
3.6970 1.4676 4.2154 Co
```

ΔE_f (eV per atom): 0.128
N(E_F) (states/eV/cell): 17.37
Energy (eV per cell): -73.9
Space group: No. 46

---

[11]
A plane-wave DFT calculation with PBE was carried out for crystalline In2FeSb at its relaxed geometry.

Geometry as POSCAR:
```
In2FeSb
1.0
-2.1633 2.4056 4.4379
-3.5201 -3.4407 2.4355
5.1949 -0.6355 -1.6646
Fe In Sb
1 2 1
Cartesian
-0.5835 -2.2969 2.1038 Fe
0.0000 0.0000 0.0000 In
0.0949 0.6263 3.1050 In
-2.8417 -0.5176 3.4367 Sb
```

N(E_F) (states/eV/cell): 4.64
Energy (eV per cell): -16.4
Space group: No. 119

---

[12]
A plane-wave DFT calculation with PBE was carried out for crystalline Si2HgAu at its relaxed geometry.

Geometry as POSCAR:
```
Si2HgAu
1.0
4.2302 0.0000 0.0000
0.0000 2.7439 -0.1329
0.0000 -2.6376 7.0999
Au Hg Si
1 1 2
Cartesian
2.1151 0.0266 1.7418 Au
2.1151 0.0797 5.2253 Hg
0.0000 -0.0208 0.3118 Si
0.0000 0.0739 3.1718 Si
```

N(E_F) (states/eV/cell): 1.30
Energy (eV per cell): -13.2
Space group: No. 10